## MgSi (PBE)

Data for a relaxed MgSi crystal.

The structure belongs to space group P-1 (No. 2); the cell edges are 4.3610, 6.2918 and 8.9791 Å and the angles 76.05°, 89.08° and 72.33°. The inequivalent atoms are Mg at (0.0643, 0.4229, 0.3315), Mg at (0.1643, 0.2144, 0.0089), Mg at (0.2593, 0.0123, 0.6666), Si at (0.3223, 0.7848, 0.1979), Si at (0.3727, 0.7075, 0.4733) and Si at (0.4261, 0.5788, 0.8651).

As for the uncorrected formation energy: -0.02 eV/atom. The final energy is -42.38 eV per cell. The density of states at the Fermi level is 3.05 states/eV/cell.